This record from the Alexandria database describes Dy4Er4Th3 after structural relaxation. The functional is PBE-GGA.

Properties
Its total DFT energy (no corrections) is -5.303 eV per atom. Its calculated volume is 350 Å³ per cell. Its spin magnetization is 0.00 μB/cell. For the formation enthalpy at 0 K, the calculation gives 0.054 eV per atom.

Cell lengths 3.5520, 5.6696, 17.9438 Å; angles 99.09, 101.43, 90.01 degrees
Closest atoms and distances in Å follow each position.
Element x y z (fractional)
Dy (0.0595, 0.2799, 0.5599)  6 Er 3.51-3.60, 4 Dy 3.51-3.55, 2 Th 3.57-3.58
Er (0.5920, 0.5459, 0.0914)  3 Er 3.18-3.55, 2 Dy 3.37, 2 Th 3.44-3.45
Er (0.3795, 0.1899, 0.3795)  2 Th 3.50, 8 Dy 3.51-3.64, 2 Er 3.55
Th (0.9999, 0.0000, 0.9999)  2 Th 3.55, 8 Er 3.70, 4 Dy 3.85
Th (0.2620, 0.6309, 0.2614)  4 Er 3.44-3.50, 6 Dy 3.53-3.58, 2 Th 3.55
Dy (0.6968, 0.0984, 0.1965)  4 Er 3.37-3.64, 4 Th 3.53, 2 Dy 3.55
Th (0.7380, 0.3691, 0.7386)  4 Er 3.44-3.50, 6 Dy 3.53-3.58, 2 Th 3.55
Dy (0.9406, 0.7202, 0.4403)  6 Er 3.51-3.60, 4 Dy 3.51-3.55, 2 Th 3.58
Er (0.6205, 0.8102, 0.6205)  2 Th 3.50, 8 Dy 3.51-3.64, 2 Er 3.55
Er (0.4078, 0.4541, 0.9085)  3 Er 3.18-3.55, 2 Dy 3.37, 2 Th 3.44
Dy (0.3032, 0.9016, 0.8034)  4 Er 3.37-3.64, 4 Th 3.53, 2 Dy 3.55